! CdSb (PBE, relaxed); values from VASP
! * crystal system: cubic
! * formation energy (no corrections): 0.298 eV/atom
! * raw total energy: -2.22 eV/atom
! * offset from the most stable computed form: 66 kJ/mol of formula units
&SYSTEM
  ibrav = 0, nat = 8, ntyp = 2
/
ATOMIC_SPECIES
Cd 112.41 Cd.upf
Sb 121.76 Sb.upf
CELL_PARAMETERS angstrom
-4.4914 4.4914 4.4914
4.4914 -4.4914 4.4914
4.4914 4.4914 -4.4914
ATOMIC_POSITIONS crystal
Cd 0.0000 0.0000 0.6733
Cd 0.0000 0.6733 0.0000
Cd 0.3267 0.3267 0.3267
Cd 0.6733 0.0000 0.0000
Sb 0.0000 0.0000 0.3190
Sb 0.0000 0.3190 0.0000
Sb 0.3190 0.0000 0.0000
Sb 0.6810 0.6810 0.6810

! Cd5Sb4 (PBE, relaxed); values from VASP
! * crystal system: tetragonal
! * formation energy (no corrections): 0.139 eV/atom
! * raw total energy: -2.20 eV/atom
! * offset from the most stable computed form: 23 kJ/mol of formula units
&SYSTEM
  ibrav = 0, nat = 9, ntyp = 2
/
ATOMIC_SPECIES
Cd 112.41 Cd.upf
Sb 121.76 Sb.upf
CELL_PARAMETERS angstrom
-4.8857 4.8857 2.3820
4.8857 -4.8857 2.3820
4.8857 4.8857 -2.3820
ATOMIC_POSITIONS crystal
Cd 0.0000 0.0000 0.0000
Cd 0.3370 0.3370 0.6739
Cd 0.3370 0.6630 0.0000
Cd 0.6630 0.3370 0.0000
Cd 0.6630 0.6630 0.3261
Sb 0.0000 0.3246 0.3246
Sb 0.0000 0.6754 0.6754
Sb 0.3246 0.0000 0.3246
Sb 0.6754 0.0000 0.6754

! CdSb3 (PBE, relaxed); values from VASP
! * crystal system: cubic
! * formation energy (no corrections): 0.192 eV/atom
! * raw total energy: -3.13 eV/atom
! * offset from the most stable computed form: 52 kJ/mol of formula units
&SYSTEM
  ibrav = 0, nat = 4, ntyp = 2
/
ATOMIC_SPECIES
Cd 112.41 Cd.upf
Sb 121.76 Sb.upf
CELL_PARAMETERS angstrom
0.0000 3.7663 3.7663
3.7663 0.0000 3.7663
3.7663 3.7663 0.0000
ATOMIC_POSITIONS crystal
Cd 0.0000 0.0000 0.0000
Sb 0.2500 0.2500 0.2500
Sb 0.5000 0.5000 0.5000
Sb 0.7500 0.7500 0.7500

! Cd3Sb4 (PBE, relaxed); values from VASP
! * crystal system: hexagonal
! * formation energy (no corrections): 0.226 eV/atom
! * raw total energy: -2.52 eV/atom
&SYSTEM
  ibrav = 0, nat = 7, ntyp = 2
/
ATOMIC_SPECIES
Cd 112.41 Cd.upf
Sb 121.76 Sb.upf
CELL_PARAMETERS angstrom
5.7438 0.0000 0.0000
-2.8719 4.9742 0.0000
0.0000 0.0000 6.4602
ATOMIC_POSITIONS crystal
Cd 0.0000 0.5000 0.0000
Cd 0.5000 0.0000 0.0000
Cd 0.5000 0.5000 0.0000
Sb 0.0000 0.0000 0.2790
Sb 0.0000 0.0000 0.7210
Sb 0.3333 0.6667 0.5000
Sb 0.6667 0.3333 0.5000